# 1
Compound: SrPt2Au
Source: the Alexandria database
Functional: PBE
Structure: optimized geometry

```
SrPt2Au
1.0
-0.694 2.818 0.691
-3.012 -0.087 -2.670
-4.212 -2.219 4.824
Sr Pt Au
1 2 1
Direct
0.000 0.000 0.489
0.500 0.500 0.205
0.000 0.000 0.009
0.500 0.500 0.797
```

Computed properties:
Energy relative to the elements (eV per atom): -0.2331
Calculated density (kg/m³): 13763
Symmetry: Pmm2, No. 25

=====

# 2
Compound: Sr2PtAu
Source: the Alexandria database
Functional: PBE
Structure: optimized geometry

```
Sr2PtAu
1.0
5.178 0.000 0.000
2.589 4.484 0.000
2.589 1.495 4.228
Au Sr Pt
1 2 1
Direct
0.500 0.500 0.500
0.000 0.000 0.000
0.250 0.250 0.250
0.750 0.750 0.750
```

Computed properties:
Energy relative to the elements (eV per atom): -0.3906
Calculated density (kg/m³): 9596
Symmetry: F-43m, No. 216

=====

# 3
Compound: SrPt2Au9
Source: the Alexandria database
Functional: PBE
Structure: optimized geometry

```
SrPt2Au9
1.0
6.692 0.000 3.081
3.346 8.061 1.540
-0.025 0.000 8.862
Au Sr Pt
18 2 4
Direct
0.008 0.675 0.916
0.433 0.825 0.416
0.008 0.916 0.675
0.076 0.916 0.325
0.076 0.325 0.916
0.000 0.000 0.000
0.317 0.675 0.084
0.600 0.084 0.325
0.600 0.325 0.084
0.674 0.584 0.175
0.674 0.175 0.584
0.742 0.584 0.825
0.750 0.500 0.500
0.150 0.175 0.416
0.433 0.416 0.825
0.742 0.825 0.584
0.150 0.416 0.175
0.317 0.084 0.675
0.250 0.500 0.500
0.500 0.000 0.000
0.875 0.250 0.250
0.875 0.750 0.250
0.375 0.750 0.750
0.875 0.250 0.750
```

Computed properties:
Energy relative to the elements (eV per atom): -0.1828
Calculated density (kg/m³): 15614
Symmetry: I4_1/amd, No. 141

=====

# 4
Compound: Sr12Pt5Au3
Source: the Alexandria database
Functional: PBE
Structure: optimized geometry

```
Sr12Pt5Au3
1.0
-5.557 -8.798 11.917
8.893 -9.000 -9.499
8.777 11.811 5.811
Sr Au Pt
48 12 20
Direct
0.786 0.325 0.910
0.876 0.590 0.914
0.214 0.675 0.090
0.214 0.538 0.624
0.786 0.462 0.376
0.462 0.786 0.876
0.414 0.038 0.325
0.962 0.586 0.175
0.914 0.090 0.876
0.086 0.910 0.124
0.325 0.538 0.414
0.038 0.414 0.825
0.090 0.175 0.214
0.124 0.714 0.538
0.624 0.586 0.910
0.414 0.376 0.590
0.376 0.962 0.786
0.910 0.825 0.786
0.325 0.786 0.410
0.175 0.090 0.714
0.286 0.876 0.962
0.086 0.175 0.462
0.876 0.286 0.462
0.410 0.286 0.325
0.675 0.462 0.586
0.590 0.876 0.414
0.910 0.086 0.624
0.624 0.038 0.214
0.538 0.214 0.124
0.175 0.086 0.962
0.038 0.624 0.714
0.286 0.410 0.825
0.825 0.914 0.038
0.462 0.675 0.086
0.090 0.914 0.376
0.675 0.214 0.590
0.538 0.325 0.914
0.714 0.124 0.038
0.714 0.590 0.175
0.962 0.376 0.286
0.590 0.714 0.675
0.586 0.624 0.410
0.914 0.825 0.538
0.825 0.910 0.286
0.376 0.414 0.090
0.410 0.124 0.586
0.586 0.962 0.675
0.124 0.410 0.086
0.375 0.625 0.250
0.625 0.375 0.750
0.250 0.125 0.375
0.750 0.375 0.125
0.875 0.750 0.125
0.625 0.250 0.375
0.375 0.750 0.625
0.125 0.875 0.750
0.125 0.250 0.875
0.750 0.875 0.625
0.875 0.125 0.250
0.250 0.625 0.875
0.375 0.125 0.750
0.000 0.500 0.500
0.125 0.750 0.375
0.125 0.375 0.250
0.875 0.625 0.750
0.750 0.125 0.875
0.000 0.000 0.000
0.000 0.500 0.000
0.000 0.000 0.500
0.625 0.750 0.875
0.500 0.500 0.000
0.500 0.000 0.500
0.625 0.875 0.250
0.375 0.250 0.125
0.250 0.375 0.625
0.500 0.000 0.000
0.875 0.250 0.625
0.750 0.625 0.375
0.500 0.500 0.500
0.250 0.875 0.125
```

Computed properties:
Energy relative to the elements (eV per atom): -0.4856
Calculated density (kg/m³): 5704
Symmetry: Ia-3d, No. 230

=====

# 5
Compound: SrPtAu
Source: the Alexandria database
Functional: PBE
Structure: optimized geometry

```
SrPtAu
1.0
-1.291 4.483 -1.616
-4.631 0.850 -1.485
-2.982 2.841 2.722
Au Sr Pt
1 1 1
Direct
0.000 0.000 0.000
0.250 0.250 0.250
0.500 0.500 0.500
```

Computed properties:
Distance to the lowest polymorph of the same formula (eV/atom): 0.760
Energy relative to the elements (eV per atom): 0.0148
Calculated density (kg/m³): 9362
Symmetry: F-43m, No. 216

=====

# 6
Compound: Sr4PtAu2
Source: the Alexandria database
Functional: PBE
Structure: optimized geometry

```
Sr4PtAu2
1.0
-0.928 -1.545 -5.235
1.631 -5.146 1.229
-8.273 -5.558 0.178
Sr Au Pt
4 2 1
Direct
0.686 0.686 0.629
0.500 0.000 0.000
0.314 0.314 0.371
0.000 0.500 0.000
0.853 0.853 0.294
0.147 0.147 0.706
0.000 0.000 0.000
```

Computed properties:
Energy relative to the elements (eV per atom): -0.3452
Calculated density (kg/m³): 5552
Symmetry: I4/mmm, No. 139

=====

# 7
Compound: SrPtAu
Source: the Alexandria database
Functional: PBE
Structure: optimized geometry

```
SrPtAu
1.0
-2.854 -3.208 -3.720
-0.944 -0.673 5.561
-1.153 5.549 0.391
Au Sr Pt
2 2 2
Direct
0.500 0.500 0.500
0.000 0.500 0.000
0.250 0.121 0.871
0.750 0.879 0.129
0.000 0.500 0.500
0.500 0.000 0.500
```

Computed properties:
Distance to the lowest polymorph of the same formula (eV/atom): 0.000
Energy relative to the elements (eV per atom): -0.7449
Calculated density (kg/m³): 12200
Symmetry: Imma, No. 74

=====

# 8
Compound: Sr2PtAu
Source: the Alexandria database
Functional: PBE
Structure: optimized geometry

```
Sr2PtAu
1.0
3.754 0.000 0.000
0.000 3.754 0.000
0.000 0.000 7.583
Pt Sr Au
1 2 1
Direct
0.500 0.500 0.000
0.000 0.000 0.235
0.000 0.000 0.765
0.500 0.500 0.500
```

Computed properties:
Energy relative to the elements (eV per atom): -0.7587
Calculated density (kg/m³): 8816
Symmetry: P4/mmm, No. 123

=====

# 9
Compound: SrPt2Au
Source: the Alexandria database
Functional: PBE
Structure: optimized geometry

```
SrPt2Au
1.0
-1.866 -2.517 -3.461
0.559 -4.634 -0.075
-4.783 -3.032 1.531
Pt Sr Au
2 1 1
Direct
0.563 0.563 0.311
0.937 0.937 0.189
0.750 0.750 0.750
0.250 0.250 0.250
```

Computed properties:
Energy relative to the elements (eV per atom): -0.5457
Calculated density (kg/m³): 11494
Symmetry: C2/m, No. 12

=====

# 10
Compound: SrPt2Au
Source: the Alexandria database
Functional: PBE
Structure: optimized geometry

```
SrPt2Au
1.0
5.585 -0.453 1.487
4.031 3.892 1.487
2.883 1.031 4.921
Pt Sr Au
2 1 1
Direct
0.012 0.012 0.012
0.691 0.691 0.691
0.496 0.496 0.496
0.301 0.301 0.301
```

Computed properties:
Energy relative to the elements (eV per atom): -0.5497
Calculated density (kg/m³): 11803
Symmetry: R3m, No. 160

=====

# 11
Compound: Sr6PtAu2
Source: the Alexandria database
Functional: PBE
Structure: optimized geometry

```
Sr6PtAu2
1.0
7.447 0.000 0.208
0.000 8.269 0.000
-0.620 0.000 11.046
Sr Au Pt
12 4 2
Direct
0.156 0.047 0.747
0.827 0.675 0.933
0.327 0.825 0.433
0.344 0.547 0.753
0.656 0.453 0.247
0.673 0.175 0.567
0.844 0.953 0.253
0.166 0.315 0.428
0.334 0.815 0.072
0.173 0.325 0.067
0.666 0.185 0.928
0.834 0.685 0.572
0.551 0.887 0.746
0.449 0.113 0.254
0.051 0.613 0.246
0.949 0.387 0.754
0.500 0.500 0.000
0.000 0.000 0.500
```

Computed properties:
Distance to the lowest polymorph of the same formula (eV/atom): 0.000
Energy relative to the elements (eV per atom): -0.6073
Calculated density (kg/m³): 5434
Symmetry: P2_1/c, No. 14

=====

# 12
Compound: Sr3PtAu
Source: the Alexandria database
Functional: PBE
Structure: optimized geometry

```
Sr3PtAu
1.0
-2.719 2.032 2.640
-5.246 -7.623 0.464
2.816 -5.362 7.028
Sr Au Pt
6 2 2
Direct
0.363 0.039 0.091
0.864 0.000 0.686
0.864 0.388 0.806
0.863 0.633 0.053
0.363 0.350 0.402
0.863 0.755 0.440
0.363 0.694 0.746
0.863 0.193 0.248
0.364 0.194 0.746
0.363 0.694 0.246
```

Computed properties:
Distance to the lowest polymorph of the same formula (eV/atom): 0.076
Energy relative to the elements (eV per atom): -0.6329
Calculated density (kg/m³): 6261
Symmetry: P1, No. 1

=====

# 13
Compound: SrPtAu2
Source: the Alexandria database
Functional: PBE
Structure: optimized geometry

```
SrPtAu2
1.0
0.000 3.501 3.501
3.501 0.000 3.501
3.501 3.501 0.000
Au Sr Pt
2 1 1
Direct
0.250 0.250 0.250
0.750 0.750 0.750
0.000 0.000 0.000
0.500 0.500 0.500
```

Computed properties:
Distance to the lowest polymorph of the same formula (eV/atom): 0.179
Energy relative to the elements (eV per atom): -0.3376
Calculated density (kg/m³): 13092
Symmetry: Fm-3m, No. 225

=====

# 14
Compound: SrPt2Au2
Source: the Alexandria database
Functional: PBE
Structure: optimized geometry

```
SrPt2Au2
1.0
7.957 0.000 0.000
0.000 7.957 0.000
0.000 0.000 3.159
Pt Au Sr
4 4 2
Direct
0.329 0.171 0.500
0.829 0.329 0.500
0.171 0.671 0.500
0.671 0.829 0.500
0.873 0.627 0.000
0.127 0.373 0.000
0.627 0.127 0.000
0.373 0.873 0.000
0.500 0.500 0.000
0.000 0.000 0.000
```

Computed properties:
Distance to the lowest polymorph of the same formula (eV/atom): 0.094
Energy relative to the elements (eV per atom): -0.2957
Calculated density (kg/m³): 14475
Symmetry: P4/mbm, No. 127

=====

# 15
Compound: SrPtAu2
Source: the Alexandria database
Functional: PBE
Structure: optimized geometry

```
SrPtAu2
1.0
-2.039 -3.029 3.347
0.758 -4.886 -0.296
2.856 -2.270 3.350
Au Sr Pt
2 1 1
Direct
0.000 0.000 0.000
0.250 0.250 0.250
0.750 0.750 0.750
0.500 0.500 0.500
```

Computed properties:
Distance to the lowest polymorph of the same formula (eV/atom): 0.222
Energy relative to the elements (eV per atom): -0.2950
Calculated density (kg/m³): 13078
Symmetry: F-43m, No. 216

=====

# 16
Compound: SrTbPtAu
Source: the Alexandria database
Functional: PBE
Structure: optimized geometry

```
SrTbPtAu
1.0
5.151 0.000 0.000
2.576 4.461 0.000
2.576 1.487 4.206
Sr Au Tb Pt
1 1 1 1
Direct
0.500 0.500 0.500
0.250 0.250 0.250
0.000 0.000 0.000
0.750 0.750 0.750
```

Computed properties:
Energy relative to the elements (eV per atom): -0.8122
Calculated density (kg/m³): 10973
Symmetry: F-43m, No. 216

=====

# 17
Compound: SrTcPtAu2
Source: the Alexandria database
Functional: PBE
Structure: optimized geometry

```
SrTcPtAu2
1.0
-1.455 0.422 4.965
-4.382 -1.533 -1.154
1.490 -4.899 0.853
Au Pt Sr Tc
2 1 1 1
Direct
0.500 0.000 0.000
0.000 0.000 0.500
0.000 0.000 0.000
0.500 0.500 0.500
0.000 0.500 0.000
```

Computed properties:
Energy relative to the elements (eV per atom): 0.3781
Calculated density (kg/m³): 9977
Symmetry: P4/mmm, No. 123

=====

# 18
Compound: SrTiPt2Au
Source: the Alexandria database
Functional: PBE
Structure: optimized geometry

```
SrTiPt2Au
1.0
-1.692 -3.947 2.755
2.594 -3.277 -3.102
4.087 0.365 3.033
Ti Au Pt Sr
1 1 2 1
Direct
0.500 0.500 0.500
0.000 0.000 0.000
0.000 0.000 0.500
0.500 0.000 0.000
0.000 0.500 0.000
```

Computed properties:
Energy relative to the elements (eV per atom): 0.8568
Calculated density (kg/m³): 8855
Symmetry: P4/mmm, No. 123

=====

# 19
Compound: SrTmPtAu
Source: the Alexandria database
Functional: PBE
Structure: optimized geometry

```
SrTmPtAu
1.0
5.108 0.000 0.000
2.554 4.424 0.000
2.554 1.475 4.171
Tm Pt Au Sr
1 1 1 1
Direct
0.000 0.000 0.000
0.750 0.750 0.750
0.250 0.250 0.250
0.500 0.500 0.500
```

Computed properties:
Energy relative to the elements (eV per atom): -0.8086
Calculated density (kg/m³): 11427
Symmetry: F-43m, No. 216

=====

# 20
Compound: SrYPtAu
Source: the Alexandria database
Functional: PBE
Structure: optimized geometry

```
SrYPtAu
1.0
-3.407 3.371 1.877
-4.930 -0.239 -1.461
-3.599 -1.563 3.332
Sr Pt Au Y
1 1 1 1
Direct
0.000 0.000 0.000
0.750 0.750 0.750
0.250 0.250 0.250
0.500 0.500 0.500
```

Computed properties:
Energy relative to the elements (eV per atom): -0.8099
Calculated density (kg/m³): 9789
Symmetry: F-43m, No. 216

=====

# 21
Compound: Sr2Zn4PtAu3
Source: the Alexandria database
Functional: PBE
Structure: optimized geometry

```
Sr2Zn4PtAu3
1.0
4.531 0.000 0.000
0.000 4.531 0.000
0.000 0.000 10.502
Au Sr Zn Pt
3 2 4 1
Direct
0.000 0.000 0.500
0.000 0.500 0.133
0.500 0.000 0.867
0.500 0.000 0.261
0.000 0.500 0.739
0.500 0.500 0.000
0.500 0.000 0.621
0.000 0.000 0.000
0.000 0.500 0.379
0.500 0.500 0.500
```

Computed properties:
Energy relative to the elements (eV per atom): -0.5450
Calculated density (kg/m³): 9419
Symmetry: P-4m2, No. 115

=====

# 22
Compound: Sr2Zn3Pt4Au
Source: the Alexandria database
Functional: PBE
Structure: optimized geometry

```
Sr2Zn3Pt4Au
1.0
-2.164 -2.842 -2.233
-1.369 -1.765 3.572
-9.077 6.947 -0.045
Sr Au Pt Zn
2 1 4 3
Direct
0.500 0.000 0.247
0.000 0.500 0.753
0.500 0.500 0.500
0.500 0.500 0.000
0.000 0.500 0.347
0.000 0.000 0.000
0.500 0.000 0.653
0.000 0.500 0.129
0.000 0.000 0.500
0.500 0.000 0.871
```

Computed properties:
Energy relative to the elements (eV per atom): -0.6336
Calculated density (kg/m³): 11039
Symmetry: P-4m2, No. 115

=====

| no. | total DFT energy (no corrections) (eV/atom) |
| --- | --- |
| 1 | -4.49 |
| 2 | -3.56 |
| 3 | -3.79 |
| 4 | -3.50 |
| 5 | -3.65 |
| 6 | -3.11 |
| 7 | -4.41 |
| 8 | -3.93 |
| 9 | -4.81 |
| 10 | -4.81 |
| 11 | -3.13 |
| 12 | -3.51 |
| 13 | -3.91 |
| 14 | -4.36 |
| 15 | -3.86 |
| 16 | -4.72 |
| 17 | -4.55 |
| 18 | -4.13 |
| 19 | -4.68 |
| 20 | -5.18 |
| 21 | -2.98 |
| 22 | -4.10 |